No. 1
## Y2AgGe (GGA-PBE)

Data for a relaxed Y2AgGe crystal.

Geometry as extended XYZ:
```
8
Lattice="4.397 0.000 0.000 0.000 5.992 0.116 0.000 -2.836 7.322" Properties=species:S:1:pos:R:3 pbc="T T T"
Ag 1.099 0.025 5.266
Ag 3.298 3.131 2.172
Y 1.099 3.062 4.264
Y 1.099 4.555 0.630
Y 3.298 -1.399 6.809
Y 3.298 0.094 3.175
Ge 3.298 1.766 5.868
Ge 1.099 1.390 1.570
```

Computed properties:
As for the symmetry: No. 11. The calculation puts the total energy at -5.695 eV per atom. Its density of states at the Fermi level is 0.881 states/eV per atom. The formation energy comes out at -230 kJ/mol of formula units.

---

No. 2
## YAgGe (GGA-PBE)

Data for a relaxed YAgGe crystal.

Geometry as extended XYZ:
```
6
Lattice="-1.777 -0.981 -4.015 0.935 -3.933 -1.973 -5.784 -3.030 3.300" Properties=species:S:1:pos:R:3 pbc="T T T"
Y -4.010 -6.187 -0.367
Y -1.118 -4.672 -2.017
Ge -3.873 -4.674 -3.319
Ge -1.356 -3.356 -4.754
Ag -3.993 -3.246 -1.093
Ag -6.457 -4.538 0.313
```

Computed properties:
As for the symmetry: No. 187. The calculation puts the total energy at -5.163 eV per atom. Its density of states at the Fermi level is 0.182 states/eV per atom. The formation energy comes out at -150 kJ/mol of formula units.

---

No. 3
## YAgGe (GGA-PBE)

Data for a relaxed YAgGe crystal.

Geometry as extended XYZ:
```
9
Lattice="-6.924 1.815 0.515 1.925 -5.759 -3.826 -0.377 -2.418 3.450" Properties=species:S:1:pos:R:3 pbc="T T T"
Ag -3.936 -4.165 -0.757
Ag -1.923 -0.754 1.854
Ag 0.293 -2.651 0.767
Y 1.124 -3.362 -2.234
Y -2.080 -1.641 -1.378
Y -4.043 1.060 0.301
Ge -4.163 -1.918 0.793
Ge -1.213 -4.443 -0.654
Ge 0.000 0.000 0.000
```

Computed properties:
As for the symmetry: No. 189. The calculation puts the total energy at -5.310 eV per atom. Its density of states at the Fermi level is 0.133 states/eV per atom. The formation energy comes out at -193 kJ/mol of formula units.

---

No. 4
## YAgGe3 (GGA-PBE)

Data for a relaxed YAgGe3 crystal.

Geometry as extended XYZ:
```
5
Lattice="-2.998 -2.022 3.433 -0.672 -3.978 -2.930 3.928 -2.225 2.119" Properties=species:S:1:pos:R:3 pbc="T T T"
Ag 0.000 0.000 0.000
Ge -0.336 -1.989 -1.465
Ge -1.499 -1.011 1.717
Ge 1.964 -1.112 1.060
Y 0.129 -4.113 1.311
```

Computed properties:
As for the symmetry: No. 221. The calculation puts the total energy at -4.287 eV per atom. Its energy above the most stable polymorph in this dataset is 0.00 eV per formula unit. Its density of states at the Fermi level is 1.087 states/eV per atom. The formation energy comes out at 167 kJ/mol of formula units.

---

No. 5
## YAgGe (GGA-PBE)

Data for a relaxed YAgGe crystal.

Geometry as extended XYZ:
```
6
Lattice="-1.975 -2.334 -7.375 3.117 -3.039 -1.269 -3.415 -1.252 2.707" Properties=species:S:1:pos:R:3 pbc="T T T"
Ag -0.067 -4.997 -6.892
Ag 0.074 -0.595 -0.880
Ge 1.561 -4.316 -4.522
Ge -2.695 -4.590 -6.224
Y -3.574 -3.451 -3.007
Y 0.164 -3.393 -2.060
```

Computed properties:
As for the symmetry: No. 166. The calculation puts the total energy at -5.129 eV per atom. Its density of states at the Fermi level is 0.372 states/eV per atom. The formation energy comes out at -140 kJ/mol of formula units.

---

No. 6
## YAgGe (GGA-PBE)

Data for a relaxed YAgGe crystal.

Geometry as extended XYZ:
```
6
Lattice="-2.611 -1.730 -3.349 -1.484 -3.274 2.848 -5.169 4.035 1.946" Properties=species:S:1:pos:R:3 pbc="T T T"
Y -2.585 2.018 0.973
Y -4.632 -0.484 0.722
Ag -5.018 1.702 3.034
Ag -2.198 -0.168 -1.339
Ge -5.382 2.317 -0.140
Ge -1.835 -0.784 1.835
```

Computed properties:
As for the symmetry: No. 129. The calculation puts the total energy at -4.653 eV per atom. Its density of states at the Fermi level is 0.839 states/eV per atom. The formation energy comes out at -2 kJ/mol of formula units.

---

No. 7
## YAgGe (GGA-PBE)

Data for a relaxed YAgGe crystal.

Geometry as extended XYZ:
```
3
Lattice="-1.416 -1.004 -3.213 1.718 -4.121 0.531 -4.125 0.930 1.527" Properties=species:S:1:pos:R:3 pbc="T T T"
Ge -0.231 -0.163 -0.523
Y -3.123 -1.424 -0.951
Ag -0.469 -2.607 0.320
```

Computed properties:
As for the symmetry: No. 156. The calculation puts the total energy at -5.191 eV per atom. Its density of states at the Fermi level is 0.459 states/eV per atom. The formation energy comes out at -158 kJ/mol of formula units.

---

No. 8
## YAg2Ge (GGA-PBE)

Data for a relaxed YAg2Ge crystal.

Geometry as extended XYZ:
```
4
Lattice="-2.507 -1.733 0.607 -1.180 -1.850 -2.201 4.983 -9.038 2.730" Properties=species:S:1:pos:R:3 pbc="T T T"
Ag -1.944 -5.784 -0.679
Ag 3.240 -6.837 1.815
Y 0.000 0.000 0.000
Ge 0.648 -6.311 0.568
```

Computed properties:
As for the symmetry: No. 166. The calculation puts the total energy at -3.890 eV per atom. Its density of states at the Fermi level is 0.506 states/eV per atom. The formation energy comes out at 118 kJ/mol of formula units.

---

No. 9
## YAgGe (GGA-PBE)

Data for a relaxed YAgGe crystal.

Geometry as extended XYZ:
```
6
Lattice="8.437 -0.043 0.000 -0.987 4.006 0.000 0.000 0.000 3.841" Properties=species:S:1:pos:R:3 pbc="T T T"
Y 5.714 1.324 3.512
Y 0.433 2.143 1.591
Ge 5.994 3.517 1.592
Ge -0.833 3.955 3.512
Ag 3.358 2.868 1.590
Ag 2.789 0.600 3.510
```

Computed properties:
As for the symmetry: No. 11. The calculation puts the total energy at -5.143 eV per atom. Its density of states at the Fermi level is 0.454 states/eV per atom. The formation energy comes out at -144 kJ/mol of formula units.

---

No. 10
## Y2AgGe (GGA-PBE)

Data for a relaxed Y2AgGe crystal.

Geometry as extended XYZ:
```
4
Lattice="-2.867 1.419 1.916 0.658 -3.474 3.557 3.139 3.073 2.421" Properties=species:S:1:pos:R:3 pbc="T T T"
Y 0.329 -1.737 1.778
Y 1.569 1.537 1.210
Ag 0.465 0.509 3.947
Ge -1.434 0.709 0.958
```

Computed properties:
As for the symmetry: No. 123. The calculation puts the total energy at -5.637 eV per atom. Its density of states at the Fermi level is 0.822 states/eV per atom. The formation energy comes out at -207 kJ/mol of formula units.

---

No. 11
## YAgGe3 (GGA-PBE)

Data for a relaxed YAgGe3 crystal.

Geometry as extended XYZ:
```
5
Lattice="-1.269 -3.844 -3.583 3.796 -3.220 2.110 -3.635 -2.021 3.455" Properties=species:S:1:pos:R:3 pbc="T T T"
Y 0.000 0.000 0.000
Ge -1.817 -1.010 1.727
Ge 1.898 -1.610 1.055
Ge -0.634 -1.922 -1.792
Ag -0.554 -4.542 0.991
```

Computed properties:
As for the symmetry: No. 221. The calculation puts the total energy at -3.798 eV per atom. Its energy above the most stable polymorph in this dataset is 2.44 eV per formula unit. Its density of states at the Fermi level is 0.800 states/eV per atom. The formation energy comes out at 403 kJ/mol of formula units.

---

No. 12
## YAgGe (GGA-PBE)

Data for a relaxed YAgGe crystal.

Geometry as extended XYZ:
```
6
Lattice="-1.589 3.776 1.060 0.397 -0.983 4.097 6.628 2.781 0.026" Properties=species:S:1:pos:R:3 pbc="T T T"
Y 0.476 3.669 2.145
Y 3.751 2.247 3.672
Ag 5.726 3.650 1.632
Ag 5.130 5.047 4.211
Ge 1.020 1.101 3.661
Ge 3.206 4.815 2.155
```

Computed properties:
As for the symmetry: No. 129. The calculation puts the total energy at -5.215 eV per atom. Its density of states at the Fermi level is 0.265 states/eV per atom. The formation energy comes out at -165 kJ/mol of formula units.